(1)
Compound: NaLiTi3
Source: Alexandria
Functional: PBE
Structure: optimized geometry

Properties
E_tot = -3.70 eV/atom
Polymorph energy (0 for the lowest one) = 532 meV/atom
Energy of formation from the pure elements = 1.680 eV per atom
ρ = 2.542 g cm⁻³
Space group = Pm-3m (221)

Cell: 4.8397 4.8397 4.8397 Å, 90.00 90.00 90.00°
Positions (direct):
Ti 0.0000 0.0000 0.5000
Ti 0.0000 0.5000 0.0000
Ti 0.5000 0.0000 0.0000
Li 0.5000 0.5000 0.5000
Na 0.0000 0.0000 0.0000

***

(2)
Compound: LaY2Rh
Source: Alexandria
Functional: PBE
Structure: optimized geometry

Properties
E_tot = -6.53 eV/atom
Polymorph energy (0 for the lowest one) = 267 meV/atom
Energy of formation from the pure elements = -0.230 eV per atom
ρ = 5.872 g cm⁻³
Space group = I-42d (122)

Cell: 8.6568 8.6568 6.8920 Å, 51.09 51.09 90.00°
Positions (direct):
La 0.0000 0.0000 0.0000
Y 0.2039 0.6250 0.2500
Rh 0.2500 0.7500 0.5000
Y 0.5461 0.1250 0.2500
Y 0.8750 0.7961 0.7500
La 0.7500 0.2500 0.5000
Y 0.3750 0.4539 0.7500
Rh 0.5000 0.5000 0.0000